Crystalline Tl2V3Br10 at its relaxed geometry, computed with GGA-PBE.

**Formation energy from raw total energies**: -805.8 meV/atom
**Size of the total moment**: 7.0 μB/f.u.

Cell and atoms, written as POSCAR:
```
Tl2V3Br10
1.0
7.2074 0.0000 -2.3457
-1.2049 9.4040 -3.7020
0.1834 0.1929 12.8088
Tl Br V
4 20 6
direct
0.2523 0.6767 0.5046
0.6369 0.7278 0.2738
0.7477 0.3233 0.4954
0.3631 0.2722 0.7262
0.8969 0.4580 0.2795
0.0000 0.0000 0.5000
0.2267 0.5000 0.0000
0.4828 0.8190 0.9656
0.5000 0.0000 0.5000
0.3825 0.4580 0.2795
0.7733 0.5000 0.0000
0.8683 0.2514 0.7367
0.6349 0.9610 0.7795
0.8554 0.0390 0.2205
0.5172 0.1810 0.0344
0.2319 0.2839 0.4637
0.6175 0.5420 0.7205
0.9832 0.8133 0.9664
0.1446 0.9610 0.7795
0.3651 0.0390 0.2205
0.0168 0.1867 0.0336
0.7681 0.7161 0.5363
0.1317 0.7486 0.2633
0.1031 0.5420 0.7205
0.1746 0.0266 0.3492
0.8254 0.9734 0.6508
0.9259 0.5282 0.8517
0.2533 0.0000 0.0000
0.7467 0.0000 0.0000
0.0741 0.4718 0.1483
```